Entry from the Alexandria database: an optimized crystal structure of Nb2Zn2Bi (PBE-GGA).

Calculated values
Its symmetry is No. 127. The density of states at the Fermi level is 12.04 states/eV per cell. For the energy of formation from the pure elements, the calculation gives 32 kJ/mol of atoms.

Cell lengths 6.9986, 6.9986, 3.7921 Å; angles 90.00, 90.00, 90.00 degrees
Closest atoms and distances in Å follow each position.
Atoms (fractional coordinates):
Zn1 0.3792 0.8792 0.0000  1 Zn 2.39
Zn2 0.8792 0.6208 0.0000  1 Zn 2.39
Zn3 0.6208 0.1208 0.0000  1 Zn 2.39
Zn4 0.1208 0.3792 0.0000  1 Zn 2.39
Nb1 0.1735 0.6735 0.5000  6 Zn 2.78-2.82
Nb2 0.6735 0.8265 0.5000  6 Zn 2.78-2.82
Nb3 0.8265 0.3265 0.5000  6 Zn 2.78-2.82
Nb4 0.3265 0.1735 0.5000  6 Zn 2.78-2.82
Bi1 0.0000 0.0000 0.0000  4 Zn 2.79
Bi2 0.5000 0.5000 0.0000  4 Zn 2.79

Entry from the Alexandria database: an optimized crystal structure of RbLi2PtF8 (PBE-GGA).

Calculated values
The value obtained for the energy relative to the elements, uncorrected is -2056 meV per atom. Its symmetry is No. 2. The density of states at the Fermi level is 8.68 states/eV per cell.

Cell lengths 4.9990, 4.9405, 7.5385 Å; angles 77.57, 80.15, 79.51 degrees
Closest atoms and distances in Å follow each position.
Atoms (fractional coordinates):
Rb1 0.0000 0.0000 0.5000  8 F 2.76-2.92
Li1 0.4639 0.4498 0.7292  5 F 1.98-2.05
Li2 0.5361 0.5502 0.2708  5 F 1.98-2.05
Pt1 0.0000 0.0000 0.0000  6 F 1.94-1.97
F1 0.1655 0.7272 0.1988  1 Pt 1.97, 1 Li 2.01
F2 0.7149 0.7666 0.0329  1 Pt 1.94, 1 Li 2.03
F3 0.7737 0.2089 0.1794  1 Pt 1.96, 1 Li 2.05
F4 0.8345 0.2728 0.8012  1 Pt 1.97, 1 Li 2.01
F5 0.2851 0.2334 0.9671  1 Pt 1.94, 1 Li 2.03
F6 0.2263 0.7911 0.8206  1 Pt 1.96, 1 Li 2.05
F7 0.5635 0.7068 0.4870  2 Li 1.98-2.03, 1 F 2.21
F8 0.4365 0.2932 0.5130  2 Li 1.98-2.03, 1 F 2.21

Entry from the Alexandria database: an optimized crystal structure of LiCrHPd2 (PBE-GGA).

Calculated values
Its symmetry is No. 123. The density of states at the Fermi level is 2.71 states/eV per cell. The value obtained for the total energy is -5.179 eV per atom.

Cell lengths 4.0184, 4.0184, 3.8205 Å; angles 90.00, 90.00, 90.00 degrees
Closest atoms and distances in Å follow each position.
Atoms (fractional coordinates):
Cr1 0.0000 0.0000 0.5000  2 H 1.91
H1 0.0000 0.0000 0.0000  2 Cr 1.91, 4 Pd 2.01
Pd1 0.0000 0.5000 0.0000  2 H 2.01
Pd2 0.5000 0.0000 0.0000  2 H 2.01
Li1 0.5000 0.5000 0.5000  8 Pd 2.77, 4 Cr 2.84